A plane-wave DFT calculation with PBE was carried out for a relaxed TiAl6Ir crystal.

Properties
ΔE to the lowest computed polymorph = 0.0996 eV/atom
formation energy from the elements = -2.34 eV per formula unit
density of states at the Fermi level = 0.48 states/eV/atom

Lattice parameters (Å, degrees): 8.6852 8.6852 6.4732 90.00 90.00 120.00
Space group R-3m (No. 166, hexagonal axes)
Inequivalent atoms, fractional coordinates:
1 Ti 0.0000 0.0000 0.0000
2 Al 0.0322 0.5161 0.3021
3 Ir 0.0000 0.0000 0.5000



A plane-wave DFT calculation with PBE was carried out for a relaxed Ti4Al2Ir crystal.

Properties
formation energy from the elements = 2.28 eV per formula unit
density of states at the Fermi level = 1.34 states/eV/atom

Lattice parameters (Å, degrees): 4.680 4.680 13.520 90.00 90.00 90.00
Space group I4/mmm (No. 139)
Inequivalent atoms, fractional coordinates:
1 Ti 0.000 0.000 0.181
2 Ti 0.000 0.500 0.000
3 Al 0.000 0.000 0.378
4 Ir 0.000 0.000 0.000



Which of these has the highest density of states at the Fermi level?
Ti4Al2Ir